1.
BeNiPb3 | GGA-PBE | optimized geometry

Summary:
volume: 134 Å³/f.u.
ΔE_f: 14.3 kcal/mol of atoms
E: -3.51 eV per atom
magnetic moment: 0.000 μB per cell

Cell: 5.1182 5.1182 5.1182 Å, 90.00 90.00 90.00°
Sites, in units of the cell vectors:
Pb 0.0000 0.5000 0.0000
Pb 0.0000 0.0000 0.5000
Pb 0.5000 0.0000 0.0000
Ni 0.0000 0.0000 0.0000
Be 0.5000 0.5000 0.5000

***

2.
BeNiPb2 | GGA-PBE | optimized geometry

Summary:
volume: 80 Å³/f.u.
ΔE_f: 12.0 kcal/mol of atoms
E: -3.71 eV per atom
magnetic moment: 0.000 μB per cell

Cell: 4.3097 4.3097 5.9298 Å, 77.69 77.69 48.16°
Sites, in units of the cell vectors:
Pb 0.9933 0.9933 0.0039
Pb 0.5067 0.5067 0.4961
Ni 0.2500 0.2500 0.2500
Be 0.7500 0.7500 0.7500

***

3.
BeNiPb2 | GGA-PBE | optimized geometry

Summary:
volume: 80 Å³/f.u.
ΔE_f: 12.8 kcal/mol of atoms
E: -3.68 eV per atom
magnetic moment: 0.000 μB per cell

Cell: 4.2617 5.3192 3.5076 Å, 90.00 90.00 90.00°
Sites, in units of the cell vectors:
Pb 0.0000 0.0000 0.0000
Pb 0.5000 0.5000 0.0000
Ni 0.0000 0.5000 0.5000
Be 0.5000 0.0000 0.5000

***

4.
BeNiPb2 | GGA-PBE | optimized geometry

Summary:
volume: 79 Å³/f.u.
ΔE_f: 12.9 kcal/mol of atoms
E: -3.67 eV per atom
magnetic moment: 0.000 μB per cell

Cell: 4.8712 4.8712 4.8712 Å, 127.44 114.14 89.03°
Sites, in units of the cell vectors:
Pb 0.9980 0.9980 0.0000
Pb 0.5020 0.5020 0.0000
Ni 0.2500 0.7500 0.5000
Be 0.7500 0.2500 0.5000

***

5.
BeNiPb | GGA-PBE | optimized geometry

Summary:
volume: 53 Å³/f.u.
ΔE_f: 14.8 kcal/mol of atoms
E: -3.76 eV per atom
magnetic moment: 0.000 μB per cell

Cell: 4.2225 4.2225 4.2225 Å, 60.00 60.00 60.00°
Sites, in units of the cell vectors:
Pb 0.7500 0.7500 0.7500
Ni 0.5000 0.5000 0.5000
Be 0.0000 0.0000 0.0000

***

6.
Be2NiPb | GGA-PBE | optimized geometry

Summary:
volume: 59 Å³/f.u.
ΔE_f: 9.3 kcal/mol of atoms
E: -3.83 eV per atom
magnetic moment: 0.000 μB per cell

Cell: 3.9079 2.9650 5.1404 Å, 98.43 90.00 90.00°
Sites, in units of the cell vectors:
Pb 0.5000 0.7500 0.7500
Ni 0.5000 0.2500 0.2500
Be 0.0000 0.9539 0.0924
Be 0.0000 0.5461 0.4076

***

7.
Be2Ni2Pb | GGA-PBE | optimized geometry

Summary:
volume: 63 Å³/f.u.
ΔE_f: 2.1 kcal/mol of atoms
E: -4.45 eV per atom
magnetic moment: 0.000 μB per cell

Cell: 6.5057 6.5057 2.9667 Å, 90.00 90.00 90.00°
Sites, in units of the cell vectors:
Pb 0.0000 0.0000 0.0000
Pb 0.5000 0.5000 0.0000
Ni 0.1474 0.6474 0.5000
Ni 0.6474 0.8526 0.5000
Ni 0.8526 0.3526 0.5000
Ni 0.3526 0.1474 0.5000
Be 0.3827 0.8827 0.0000
Be 0.8827 0.6173 0.0000
Be 0.6173 0.1173 0.0000
Be 0.1173 0.3827 0.0000

***

8.
Be2NiPb | GGA-PBE | optimized geometry

Summary:
volume: 54 Å³/f.u.
ΔE_f: 10.6 kcal/mol of atoms
E: -3.78 eV per atom
magnetic moment: 0.000 μB per cell

Cell: 4.6779 4.6779 4.6779 Å, 132.86 132.86 68.88°
Sites, in units of the cell vectors:
Pb 0.7500 0.2500 0.5000
Ni 0.5000 0.5000 0.0000
Be 0.0000 0.0000 0.0000
Be 0.2500 0.7500 0.5000

***

9.
BeNiPb2 | GGA-PBE | optimized geometry

Summary:
volume: 80 Å³/f.u.
ΔE_f: 11.4 kcal/mol of atoms
E: -3.73 eV per atom
magnetic moment: 0.000 μB per cell

Cell: 7.2648 7.2648 7.2648 Å, 29.10 29.10 29.10°
Sites, in units of the cell vectors:
Pb 0.0000 0.0000 0.0000
Pb 0.5000 0.5000 0.5000
Ni 0.7500 0.7500 0.7500
Be 0.2500 0.2500 0.2500

***

10.
BeNi3Pb | GGA-PBE | optimized geometry

Summary:
volume: 66 Å³/f.u.
ΔE_f: 4.4 kcal/mol of atoms
E: -4.76 eV per atom
magnetic moment: 0.000 μB per cell

Cell: 4.0494 4.0494 4.0494 Å, 90.00 90.00 90.00°
Sites, in units of the cell vectors:
Pb 0.5000 0.5000 0.5000
Ni 0.0000 0.5000 0.0000
Ni 0.0000 0.0000 0.5000
Ni 0.5000 0.0000 0.0000
Be 0.0000 0.0000 0.0000

***

11.
BeNiPb2 | GGA-PBE | optimized geometry

Summary:
volume: 77 Å³/f.u.
ΔE_f: 4.8 kcal/mol of atoms
E: -4.02 eV per atom
magnetic moment: 0.000 μB per cell

Cell: 3.8597 4.0352 5.3535 Å, 67.43 90.00 90.00°
Sites, in units of the cell vectors:
Pb 0.0000 0.9776 0.9153
Pb 0.5000 0.2704 0.3385
Ni 0.5000 0.5697 0.7342
Be 0.0000 0.6823 0.5121

***

12.
Be2NiPb | GGA-PBE | optimized geometry

Summary:
volume: 60 Å³/f.u.
ΔE_f: 13.0 kcal/mol of atoms
E: -3.67 eV per atom
magnetic moment: 0.000 μB per cell

Cell: 5.1721 5.1721 3.2532 Å, 67.55 67.55 110.56°
Sites, in units of the cell vectors:
Pb 0.0000 0.5000 0.5000
Ni 0.5000 0.0000 0.5000
Be 0.0000 0.0000 0.0000
Be 0.5000 0.5000 0.0000

***

13.
BeNiPb2 | GGA-PBE | optimized geometry

Summary:
volume: 87 Å³/f.u.
ΔE_f: 5.5 kcal/mol of atoms
E: -3.99 eV per atom
magnetic moment: 0.000 μB per cell

Cell: 6.9601 6.9601 6.9601 Å, 150.67 148.16 43.83°
Sites, in units of the cell vectors:
Pb 0.0004 0.0004 0.0000
Pb 0.7455 0.2455 0.5000
Ni 0.3328 0.8328 0.5000
Be 0.4213 0.4213 0.0000

***

14.
BeNi2Pb2 | GGA-PBE | optimized geometry

Summary:
volume: 86 Å³/f.u.
ΔE_f: 7.2 kcal/mol of atoms
E: -4.23 eV per atom
magnetic moment: 0.000 μB per cell

Cell: 6.4406 6.4406 4.1540 Å, 90.00 90.00 90.00°
Sites, in units of the cell vectors:
Pb 0.1720 0.6720 0.5000
Pb 0.6720 0.8280 0.5000
Pb 0.8280 0.3280 0.5000
Pb 0.3280 0.1720 0.5000
Ni 0.3556 0.8556 0.0000
Ni 0.8556 0.6444 0.0000
Ni 0.6444 0.1444 0.0000
Ni 0.1444 0.3556 0.0000
Be 0.0000 0.0000 0.0000
Be 0.5000 0.5000 0.0000

***

15.
BeNiPb2 | GGA-PBE | optimized geometry

Summary:
volume: 85 Å³/f.u.
ΔE_f: 2.1 kcal/mol of atoms
E: -4.14 eV per atom
magnetic moment: 0.000 μB per cell

Cell: 3.7909 3.7909 7.1431 Å, 74.90 74.90 59.98°
Sites, in units of the cell vectors:
Pb 0.9640 0.9640 0.1033
Pb 0.7861 0.7861 0.6462
Ni 0.2088 0.2088 0.3739
Be 0.5411 0.5411 0.3767

***

16.
BeNi2RhPb | GGA-PBE | optimized geometry

Summary:
volume: 98 Å³/f.u.
ΔE_f: 35.6 kcal/mol of atoms
E: -3.72 eV per atom
magnetic moment: 1.236 μB per cell

Cell: 4.7063 4.4249 4.7063 Å, 90.00 90.00 90.00°
Sites, in units of the cell vectors:
Pb 0.0000 0.0000 0.0000
Ni 0.0000 0.0000 0.5000
Ni 0.5000 0.0000 0.0000
Rh 0.5000 0.5000 0.5000
Be 0.0000 0.5000 0.0000

***

17.
BeTcNi2Pb | GGA-PBE | optimized geometry

Summary:
volume: 106 Å³/f.u.
ΔE_f: 45.7 kcal/mol of atoms
E: -3.89 eV per atom
magnetic moment: 1.124 μB per cell

Cell: 4.5861 5.0182 4.5861 Å, 90.00 90.00 90.00°
Sites, in units of the cell vectors:
Pb 0.0000 0.0000 0.0000
Ni 0.0000 0.0000 0.5000
Ni 0.5000 0.0000 0.0000
Tc 0.0000 0.5000 0.0000
Be 0.5000 0.5000 0.5000

***

18.
BeV2NiPb | GGA-PBE | optimized geometry

Summary:
volume: 108 Å³/f.u.
ΔE_f: 47.7 kcal/mol of atoms
E: -4.22 eV per atom
magnetic moment: 0.597 μB per cell

Cell: 5.0205 4.2984 5.0205 Å, 90.00 90.00 90.00°
Sites, in units of the cell vectors:
Pb 0.0000 0.0000 0.0000
Ni 0.5000 0.5000 0.5000
Be 0.0000 0.5000 0.0000
V 0.0000 0.0000 0.5000
V 0.5000 0.0000 0.0000

***

19.
BeVNi2Pb | GGA-PBE | optimized geometry

Summary:
volume: 73 Å³/f.u.
ΔE_f: 16.0 kcal/mol of atoms
E: -4.93 eV per atom
magnetic moment: 0.000 μB per cell

Cell: 3.9913 4.6117 3.9913 Å, 90.00 90.00 90.00°
Sites, in units of the cell vectors:
Pb 0.0000 0.5000 0.0000
Ni 0.0000 0.0000 0.5000
Ni 0.5000 0.0000 0.0000
Be 0.0000 0.0000 0.0000
V 0.5000 0.5000 0.5000

***

20.
Be2NiPd | GGA-PBE | optimized geometry

Summary:
volume: 49 Å³/f.u.
ΔE_f: 8.3 kcal/mol of atoms
E: -4.25 eV per atom
magnetic moment: 0.887 μB per cell

Cell: 8.7495 5.0488 5.0488 Å, 29.48 29.95 29.95°
Sites, in units of the cell vectors:
Be 0.7568 0.0000 0.0000
Be 0.2432 0.0000 0.0000
Ni 0.0000 0.0000 0.0000
Pd 0.5000 0.0000 0.0000